# LaCrPt2, optimized geometry, DFT PBE
data_LaCrPt2
_symmetry_space_group_name_H-M 'P 1'
_symmetry_Int_Tables_number 1
_symmetry_space_group_name_Hall 'P 1'
_cell_length_a 9.9018
_cell_length_b 9.9018
_cell_length_c 9.9018
_cell_angle_alpha 17.54
_cell_angle_beta 17.54
_cell_angle_gamma 17.54
loop_
_atom_site_label
_atom_site_type_symbol
_atom_site_fract_x
_atom_site_fract_y
_atom_site_fract_z
_atom_site_occupancy
La1 La 0.0000 0.0000 0.0000 1
Cr1 Cr 0.7668 0.7668 0.7668 1
Pt1 Pt 0.2455 0.2455 0.2455 1
Pt2 Pt 0.4997 0.4997 0.4997 1
# Energy above the most stable polymorph in this dataset = 21.35 kcal/mol of atoms
# Formation energy = 0.266 eV/atom